[1]
First-principles (PBE-GGA) data for a relaxed structure of Hf3Ga4Cu4, as listed in the Alexandria database.

It has space group Immm (No. 71), with a = 4.0608 Å, b = 6.4304 Å, c = 13.3402 Å, α = 90.00°, β = 90.00° and γ = 90.00°. The asymmetric unit holds Hf at (0.0000, 0.0000, 0.0000), Hf at (0.0000, 0.5000, 0.1238), Ga at (0.0000, 0.0000, 0.2143), Ga at (0.0000, 0.1981, 0.5000) and Cu at (0.0000, 0.3040, 0.3265).

For the formation energy, the calculation gives -0.356 eV per atom. The total magnetic moment is 0.000 μB per atom.

***

[2]
First-principles (PBE-GGA) data for a relaxed structure of HfGaCu, as listed in the Alexandria database.

It has space group Cmcm (No. 63), with a = 4.5115 Å, b = 7.6824 Å, c = 5.6149 Å, α = 90.00°, β = 90.00° and γ = 90.00°. The asymmetric unit holds Hf at (0.0000, 0.1632, 0.2500), Ga at (0.0000, 0.5000, 0.0000) and Cu at (0.0000, 0.1727, 0.7500).

For the formation energy, the calculation gives -0.277 eV per atom. The total magnetic moment is 0.000 μB per atom.

***

[3]
First-principles (PBE-GGA) data for a relaxed structure of HfGaCu, as listed in the Alexandria database.

It has space group C2/m (No. 12), with a = 10.6037 Å, b = 3.3658 Å, c = 6.9998 Å, α = 90.00°, β = 127.44° and γ = 90.00°. The asymmetric unit holds Hf at (0.0892, 0.0000, 0.3225), Ga at (0.1474, 0.5000, 0.6981) and Cu at (0.1415, 0.5000, 0.0551).

For the formation energy, the calculation gives -0.323 eV per atom. The total magnetic moment is 0.000 μB per atom.

***

[4]
First-principles (PBE-GGA) data for a relaxed structure of Hf3Ga4Cu, as listed in the Alexandria database.

It has space group Immm (No. 71), with a = 2.9140 Å, b = 5.5598 Å, c = 17.9245 Å, α = 90.00°, β = 90.00° and γ = 90.00°. The asymmetric unit holds Hf at (0.0000, 0.0000, 0.0000), Hf at (0.0000, 0.5000, 0.2408), Ga at (0.0000, 0.2455, 0.3815) and Cu at (0.0000, 0.0000, 0.5000).

For the formation energy, the calculation gives -0.218 eV per atom. The total magnetic moment is 0.000 μB per atom.

***

[5]
First-principles (PBE-GGA) data for a relaxed structure of HfGaCu, as listed in the Alexandria database.

It has space group P-1 (No. 2), with a = 3.0459 Å, b = 5.7981 Å, c = 6.0288 Å, α = 105.99°, β = 90.02° and γ = 105.20°. The asymmetric unit holds Hf at (0.0108, 0.0192, 0.2528), Ga at (0.3172, 0.6325, 0.3768) and Cu at (0.3250, 0.6513, 0.9315).

For the formation energy, the calculation gives -0.205 eV per atom. The total magnetic moment is 0.000 μB per atom.

***

[6]
First-principles (PBE-GGA) data for a relaxed structure of HfGaCu2, as listed in the Alexandria database.

It has space group P4/mmm (No. 123), with a = 4.0209 Å, b = 4.0209 Å, c = 3.8301 Å, α = 90.00°, β = 90.00° and γ = 90.00°. The asymmetric unit holds Hf at (0.0000, 0.0000, 0.0000), Ga at (0.5000, 0.5000, 0.0000) and Cu at (0.0000, 0.5000, 0.5000).

For the formation energy, the calculation gives -0.153 eV per atom. The total magnetic moment is 0.000 μB per atom.

***

[7]
First-principles (PBE-GGA) data for a relaxed structure of Hf2Ga3Cu, as listed in the Alexandria database.

It has space group Cm (No. 8), with a = 9.9189 Å, b = 4.1279 Å, c = 6.4728 Å, α = 90.00°, β = 130.59° and γ = 90.00°. The asymmetric unit holds Hf at (0.0000, 0.0000, 0.0000), Hf at (0.0926, 0.0000, 0.5972), Ga at (0.2066, 0.5000, 0.0001), Ga at (0.3749, 0.0000, 0.5853), Ga at (0.4006, 0.0000, 0.1843) and Cu at (0.2137, 0.5000, 0.4066).

For the formation energy, the calculation gives -0.431 eV per atom. The total magnetic moment is 0.000 μB per atom. The calculation puts the excess energy over the best structure of this formula in the dataset at 0 meV/atom.

***

[8]
First-principles (PBE-GGA) data for a relaxed structure of HfGaCu, as listed in the Alexandria database.

It has space group P6_3/mmc (No. 194), with a = 3.8662 Å, b = 3.8662 Å, c = 10.4976 Å, α = 90.00°, β = 90.00° and γ = 120.00°. The asymmetric unit holds Hf at (0.0000, 0.0000, 0.0000), Ga at (0.0000, 0.0000, 0.2500) and Cu at (0.3333, 0.6667, 0.2500).

For the formation energy, the calculation gives 0.840 eV per atom. The total magnetic moment is 0.000 μB per atom.

***

[9]
First-principles (PBE-GGA) data for a relaxed structure of HfGaCu, as listed in the Alexandria database.

It has space group Cm (No. 8), with a = 9.5608 Å, b = 3.8554 Å, c = 5.3228 Å, α = 90.00°, β = 90.68° and γ = 90.00°. The asymmetric unit holds Hf at (0.0000, 0.0000, 0.0000), Hf at (0.1003, 0.5000, 0.5101), Ga at (0.2020, 0.5000, 0.0241), Ga at (0.3067, 0.0000, 0.7450), Cu at (0.3028, 0.0000, 0.2528) and Cu at (0.4036, 0.5000, 0.4905).

For the formation energy, the calculation gives -0.306 eV per atom. The total magnetic moment is 0.000 μB per atom.

***

[10]
First-principles (PBE-GGA) data for a relaxed structure of HfGaCu2, as listed in the Alexandria database.

It has space group Immm (No. 71), with a = 2.7827 Å, b = 4.7008 Å, c = 10.3114 Å, α = 90.00°, β = 90.00° and γ = 90.00°. The asymmetric unit holds Hf at (0.0000, 0.0000, 0.0000), Ga at (0.0000, 0.0000, 0.5000) and Cu at (0.0000, 0.0000, 0.2624).

For the formation energy, the calculation gives 0.236 eV per atom. The total magnetic moment is 0.000 μB per atom.

***

[11]
First-principles (PBE-GGA) data for a relaxed structure of HfGaCu, as listed in the Alexandria database.

It has space group Immm (No. 71), with a = 3.3787 Å, b = 5.5283 Å, c = 10.6567 Å, α = 90.00°, β = 90.00° and γ = 90.00°. The asymmetric unit holds Hf at (0.0000, 0.0000, 0.1779), Ga at (0.0000, 0.5000, 0.1197) and Cu at (0.0000, 0.2700, 0.5000).

For the formation energy, the calculation gives -0.283 eV per atom. The total magnetic moment is 0.000 μB per atom.

***

[12]
First-principles (PBE-GGA) data for a relaxed structure of HfGa3Cu2, as listed in the Alexandria database.

It has space group Cmcm (No. 63), with a = 8.7529 Å, b = 8.7697 Å, c = 5.5225 Å, α = 90.00°, β = 90.00° and γ = 90.00°. The asymmetric unit holds Hf at (0.0000, 0.2389, 0.2500), Ga at (0.0000, 0.3147, 0.7500), Ga at (0.1447, 0.0616, 0.7500) and Cu at (0.1406, 0.5000, 0.0000).

For the formation energy, the calculation gives 0.053 eV per atom. The total magnetic moment is 0.000 μB per atom. The calculation puts the excess energy over the best structure of this formula in the dataset at 284 meV/atom.